Record 1
PrGePb | OQMD via LeMat-Bulk | GGA-PBE | relaxed; crystal system = cubic; symmetry = F-43m (216); ρ = 7.18 g/cm3
1.0
0.000 3.651 3.651
3.651 0.000 3.651
3.651 3.651 0.000
Ge Pb Pr
1 1 1
Cartesian
1.826 1.826 1.826 Ge
5.477 5.477 5.477 Pb
0.000 0.000 0.000 Pr

***

Record 2
PrGePbSe3 | OQMD via LeMat-Bulk | GGA-PBE | relaxed; crystal system = orthorhombic; symmetry = Cmcm (63); ρ = 6.53 g/cm3
1.0
2.158 -7.586 0.000
2.158 7.586 0.000
0.000 0.000 10.222
Ge Pb Pr Se
2 2 2 6
Cartesian
2.158 0.692 2.555 Ge
2.158 -0.692 7.666 Ge
2.158 -3.720 2.555 Pb
2.158 3.720 7.666 Pb
0.000 0.000 0.000 Pr
0.000 0.000 5.111 Pr
2.158 2.132 0.481 Se
2.158 5.831 2.555 Se
2.158 2.132 4.629 Se
2.158 -2.132 5.592 Se
2.158 -5.831 7.666 Se
2.158 -2.132 9.740 Se

***

Record 3
PuGePb | OQMD via LeMat-Bulk | GGA-PBE | relaxed; crystal system = cubic; relative energy among the computed polymorphs = 106.1 meV per atom; symmetry = F-43m (216); ρ = 9.50 g/cm3
1.0
0.000 3.577 3.577
3.577 0.000 3.577
3.577 3.577 0.000
Ge Pb Pu
1 1 1
Cartesian
0.000 0.000 0.000 Ge
1.789 1.789 1.789 Pb
3.577 3.577 3.577 Pu

***

Record 4
PuGePb | OQMD via LeMat-Bulk | GGA-PBE | relaxed; crystal system = cubic; relative energy among the computed polymorphs = 0.0 meV per atom; symmetry = F-43m (216); ρ = 10.46 g/cm3
1.0
2.889 -1.168 3.782
-1.062 -3.889 2.785
2.814 -4.006 -0.212
Ge Pb Pu
1 1 1
Cartesian
3.481 -6.797 4.766 Ge
1.160 -2.266 1.589 Pb
0.000 0.000 0.000 Pu

***

Record 5
TbGePbS3 | OQMD via LeMat-Bulk | GGA-PBE | relaxed; crystal system = orthorhombic; symmetry = Cmcm (63); ρ = 6.08 g/cm3
1.0
-6.976 2.932 -0.714
6.084 -3.191 -3.253
-3.877 -8.871 1.452
Ge Pb S Tb
2 2 6 2
Cartesian
-2.102 -2.026 -1.487 Ge
-2.668 -7.105 -1.028 Ge
1.596 -3.760 -2.206 Pb
-6.366 -5.371 -0.309 Pb
-2.340 0.347 -1.589 S
-6.602 0.084 -0.612 S
-3.981 -3.406 -0.974 S
-0.789 -5.724 -1.541 S
1.832 -9.215 -1.903 S
-2.430 -9.478 -0.927 S
0.000 0.000 0.000 Tb
-1.938 -4.436 0.726 Tb

***

Record 6
TmGePbS3 | OQMD via LeMat-Bulk | GGA-PBE | relaxed; crystal system = orthorhombic; symmetry = Cmcm (63); ρ = 6.05 g/cm3
1.0
1.885 -7.305 0.000
1.885 7.305 0.000
0.000 0.000 10.864
Ge Pb S Tm
2 2 6 2
Cartesian
1.885 1.929 2.716 Ge
1.885 -1.929 8.148 Ge
1.885 -2.599 2.716 Pb
1.885 2.599 8.148 Pb
1.885 1.880 0.074 S
1.885 -7.153 2.716 S
1.885 1.880 5.358 S
1.885 -1.880 5.506 S
1.885 7.153 8.148 S
1.885 -1.880 10.790 S
0.000 0.000 0.000 Tm
0.000 0.000 5.432 Tm

***

Record 7
ZrGePbS3 | OQMD via LeMat-Bulk | GGA-PBE | relaxed; crystal system = orthorhombic; symmetry = Cmcm (63); ρ = 5.49 g/cm3
1.0
1.798 -7.347 0.000
1.798 7.347 0.000
0.000 0.000 10.702
Ge Pb S Zr
2 2 6 2
Cartesian
1.798 -2.027 2.675 Ge
1.798 2.027 8.026 Ge
1.798 2.680 2.675 Pb
1.798 -2.680 8.026 Pb
1.798 -1.836 0.090 S
1.798 7.278 2.675 S
1.798 -1.836 5.261 S
1.798 1.836 5.441 S
1.798 -7.278 8.026 S
1.798 1.836 10.612 S
0.000 0.000 0.000 Zr
0.000 0.000 5.351 Zr

***

Record 8
SmGePbSe3 | OQMD via LeMat-Bulk | GGA-PBE | relaxed; crystal system = orthorhombic; symmetry = Cmcm (63); ρ = 6.79 g/cm3
1.0
2.118 -7.493 0.000
2.118 7.493 0.000
0.000 0.000 10.276
Ge Pb Se Sm
2 2 6 2
Cartesian
2.118 6.821 2.569 Ge
2.118 -6.821 7.707 Ge
2.118 -3.823 2.569 Pb
2.118 3.823 7.707 Pb
2.118 5.401 0.446 Se
2.118 1.645 2.569 Se
2.118 5.401 4.692 Se
2.118 -5.401 5.584 Se
2.118 -1.645 7.707 Se
2.118 -5.401 9.829 Se
2.118 0.000 0.000 Sm
2.118 0.000 5.138 Sm

***

| no. | electronic total energy (eV/cell) |
| --- | --- |
| 1 | -13.19 |
| 2 | -56.30 |
| 3 | -21.76 |
| 4 | -22.08 |
| 5 | -60.26 |
| 6 | -61.20 |
| 7 | -66.99 |
| 8 | -56.10 |